Entry 1:
# GGA-PBE Tb3ThPt2, optimized geometry
data_Tb3ThPt2
_cell_length_a 4.819
_cell_length_b 7.140
_cell_length_c 9.049
_cell_angle_alpha 90.00
_cell_angle_beta 90.00
_cell_angle_gamma 90.00
_space_group_name_H-M_alt 'P 1'
_space_group_IT_number 1
loop_
_space_group_symop_operation_xyz
'x,y,z'
loop_
_atom_site_label
_atom_site_fract_x
_atom_site_fract_y
_atom_site_fract_z
Tb1 0.000 0.491 0.919
Tb2 0.000 0.991 0.081
Tb3 0.500 0.646 0.158
Tb4 0.500 0.146 0.842
Tb5 0.000 0.360 0.325
Tb6 0.000 0.860 0.675
Th1 0.500 0.505 0.583
Th2 0.500 0.005 0.417
Pt1 0.500 0.736 0.841
Pt2 0.500 0.236 0.159
Pt3 0.000 0.263 0.658
Pt4 0.000 0.763 0.342
# Crystal system: orthorhombic
# E_tot: -0.2367 hartree per atom
# Volume: 25.95 Å³ per atom
# ΔE_f: -0.877 eV per atom
# Space group: Pmc2_1 (26)

***

Entry 2:
# GGA-PBE Be5Br, optimized geometry
data_Be5Br
_cell_length_a 5.437
_cell_length_b 5.437
_cell_length_c 5.563
_cell_angle_alpha 87.19
_cell_angle_beta 87.19
_cell_angle_gamma 27.36
_space_group_name_H-M_alt 'P 1'
_space_group_IT_number 1
loop_
_space_group_symop_operation_xyz
'x,y,z'
loop_
_atom_site_label
_atom_site_fract_x
_atom_site_fract_y
_atom_site_fract_z
Be1 0.090 0.090 0.931
Be2 0.306 0.306 0.465
Be3 0.640 0.640 0.603
Be4 0.515 0.515 0.231
Be5 0.979 0.979 0.545
Br1 0.304 0.304 0.058
# Crystal system: monoclinic
# Raw formation energy: 487.4 meV/atom
# E_tot: -0.1064 hartree per atom
# Volume: 12.58 Å³ per atom
# Space group: Cm (8)

***

Entry 3:
# GGA-PBE GaPI2, optimized geometry
data_GaPI2
_cell_length_a 5.346
_cell_length_b 5.346
_cell_length_c 5.346
_cell_angle_alpha 60.00
_cell_angle_beta 60.00
_cell_angle_gamma 60.00
_space_group_name_H-M_alt 'P 1'
_space_group_IT_number 1
loop_
_space_group_symop_operation_xyz
'x,y,z'
loop_
_atom_site_label
_atom_site_fract_x
_atom_site_fract_y
_atom_site_fract_z
I1 0.250 0.250 0.250
I2 0.750 0.750 0.750
P1 0.000 0.000 0.000
Ga1 0.500 0.500 0.500
# Crystal system: cubic
# Raw formation energy: 584.0 meV/atom
# E_tot: -0.0845 hartree per atom
# Volume: 27.00 Å³ per atom
# Space group: Fm-3m (225)

***

Entry 4:
# GGA-PBE BaCa2Pt, optimized geometry
data_BaCa2Pt
_cell_length_a 10.574
_cell_length_b 10.574
_cell_length_c 10.574
_cell_angle_alpha 23.29
_cell_angle_beta 23.29
_cell_angle_gamma 23.29
_space_group_name_H-M_alt 'P 1'
_space_group_IT_number 1
loop_
_space_group_symop_operation_xyz
'x,y,z'
loop_
_atom_site_label
_atom_site_fract_x
_atom_site_fract_y
_atom_site_fract_z
Ca1 0.993 0.993 0.993
Ca2 0.221 0.221 0.221
Ba1 0.779 0.779 0.779
Pt1 0.507 0.507 0.507
# Crystal system: trigonal
# E_tot: -0.1248 hartree per atom
# Volume: 40.58 Å³ per atom
# ΔE_f: -0.404 eV per atom
# Space group: R3m (160)

***

Entry 5:
# GGA-PBE InReRu2, optimized geometry
data_InReRu2
_cell_length_a 4.928
_cell_length_b 4.928
_cell_length_c 4.747
_cell_angle_alpha 78.51
_cell_angle_beta 78.51
_cell_angle_gamma 33.83
_space_group_name_H-M_alt 'P 1'
_space_group_IT_number 1
loop_
_space_group_symop_operation_xyz
'x,y,z'
loop_
_atom_site_label
_atom_site_fract_x
_atom_site_fract_y
_atom_site_fract_z
In1 0.497 0.497 0.525
Re1 0.263 0.263 0.204
Ru1 0.001 0.001 0.031
Ru2 0.739 0.739 0.740
# Crystal system: monoclinic
# E_tot: -0.3006 hartree per atom
# Volume: 15.69 Å³ per atom
# ΔE_f: 0.256 eV per atom
# Space group: Cm (8)

***

Entry 6:
# GGA-PBE V2Mo3W, optimized geometry
data_V2Mo3W
_cell_length_a 8.759
_cell_length_b 4.422
_cell_length_c 5.170
_cell_angle_alpha 115.32
_cell_angle_beta 90.00
_cell_angle_gamma 90.00
_space_group_name_H-M_alt 'P 1'
_space_group_IT_number 1
loop_
_space_group_symop_operation_xyz
'x,y,z'
loop_
_atom_site_label
_atom_site_fract_x
_atom_site_fract_y
_atom_site_fract_z
V1 0.250 0.666 0.332
V2 0.750 0.666 0.332
V3 0.750 0.334 0.668
V4 0.250 0.334 0.668
Mo1 0.000 0.831 0.663
Mo2 0.500 0.831 0.663
Mo3 0.000 0.500 0.000
Mo4 0.500 0.500 0.000
Mo5 0.500 0.169 0.337
Mo6 0.000 0.169 0.337
W1 0.750 0.000 0.000
W2 0.250 0.000 0.000
# Crystal system: orthorhombic
# E_tot: -0.3940 hartree per atom
# Volume: 15.08 Å³ per atom
# ΔE_f: -0.107 eV per atom
# Space group: Cmmm (65)

***

Entry 7:
# GGA-PBE Na2Sc2UO6, optimized geometry
data_Na2Sc2UO6
_cell_length_a 5.725
_cell_length_b 5.725
_cell_length_c 5.950
_cell_angle_alpha 99.47
_cell_angle_beta 99.47
_cell_angle_gamma 120.60
_space_group_name_H-M_alt 'P 1'
_space_group_IT_number 1
loop_
_space_group_symop_operation_xyz
'x,y,z'
loop_
_atom_site_label
_atom_site_fract_x
_atom_site_fract_y
_atom_site_fract_z
Na1 0.823 0.177 0.000
Na2 0.177 0.823 0.000
Sc1 0.333 0.667 0.500
Sc2 0.667 0.333 0.500
U1 0.000 0.000 0.500
O1 0.735 0.735 0.691
O2 0.054 0.409 0.695
O3 0.265 0.265 0.309
O4 0.409 0.054 0.695
O5 0.946 0.591 0.305
O6 0.591 0.946 0.305
# Crystal system: monoclinic
# Raw formation energy: -2854.7 meV/atom
# E_tot: -0.2931 hartree per atom
# Volume: 14.39 Å³ per atom
# Space group: C2/m (12)

***

Entry 8:
# GGA-PBE InAgRh2, optimized geometry
data_InAgRh2
_cell_length_a 3.023
_cell_length_b 4.596
_cell_length_c 4.772
_cell_angle_alpha 90.00
_cell_angle_beta 90.00
_cell_angle_gamma 90.00
_space_group_name_H-M_alt 'P 1'
_space_group_IT_number 1
loop_
_space_group_symop_operation_xyz
'x,y,z'
loop_
_atom_site_label
_atom_site_fract_x
_atom_site_fract_y
_atom_site_fract_z
In1 0.000 0.500 0.500
Ag1 0.500 0.500 0.000
Rh1 0.000 0.000 0.000
Rh2 0.500 0.000 0.500
# Crystal system: orthorhombic
# E_tot: -0.1841 hartree per atom
# Volume: 16.58 Å³ per atom
# ΔE_f: 0.064 eV per atom
# Space group: Pmmm (47)

***

Entry 9:
# GGA-PBE MgTl2Ru, optimized geometry
data_MgTl2Ru
_cell_length_a 5.220
_cell_length_b 5.220
_cell_length_c 5.220
_cell_angle_alpha 130.97
_cell_angle_beta 130.95
_cell_angle_gamma 71.88
_space_group_name_H-M_alt 'P 1'
_space_group_IT_number 1
loop_
_space_group_symop_operation_xyz
'x,y,z'
loop_
_atom_site_label
_atom_site_fract_x
_atom_site_fract_y
_atom_site_fract_z
Mg1 0.750 0.250 0.500
Ru1 0.250 0.750 0.500
Tl1 0.000 0.000 0.000
Tl2 0.500 0.500 0.000
# Crystal system: tetragonal
# E_tot: -0.1316 hartree per atom
# Volume: 19.84 Å³ per atom
# ΔE_f: 0.321 eV per atom
# Space group: I4/mmm (139)

***

Entry 10:
# GGA-PBE ZrTa2H, optimized geometry
data_ZrTa2H
_cell_length_a 2.940
_cell_length_b 2.940
_cell_length_c 8.602
_cell_angle_alpha 80.16
_cell_angle_beta 80.16
_cell_angle_gamma 60.00
_space_group_name_H-M_alt 'P 1'
_space_group_IT_number 1
loop_
_space_group_symop_operation_xyz
'x,y,z'
loop_
_atom_site_label
_atom_site_fract_x
_atom_site_fract_y
_atom_site_fract_z
H1 0.500 0.500 0.500
Zr1 0.000 0.000 0.000
Ta1 0.114 0.114 0.658
Ta2 0.886 0.886 0.342
# Crystal system: trigonal
# E_tot: -0.3162 hartree per atom
# Volume: 15.78 Å³ per atom
# Space group: R-3m (166)

***

Entry 11:
# GGA-PBE Bi2Se2S, optimized geometry
data_Bi2Se2S
_cell_length_a 6.326
_cell_length_b 7.553
_cell_length_c 7.553
_cell_angle_alpha 63.38
_cell_angle_beta 65.24
_cell_angle_gamma 65.24
_space_group_name_H-M_alt 'P 1'
_space_group_IT_number 1
loop_
_space_group_symop_operation_xyz
'x,y,z'
loop_
_atom_site_label
_atom_site_fract_x
_atom_site_fract_y
_atom_site_fract_z
Bi1 0.106 0.642 0.145
Bi2 0.894 0.358 0.855
Bi3 0.394 0.855 0.358
Bi4 0.606 0.145 0.642
Se1 0.360 0.275 0.006
Se2 0.640 0.725 0.994
Se3 0.140 0.994 0.725
Se4 0.860 0.006 0.275
S1 0.250 0.500 0.500
S2 0.750 0.500 0.500
# Crystal system: orthorhombic
# Raw formation energy: -259.3 meV/atom
# E_tot: -0.1481 hartree per atom
# Volume: 28.09 Å³ per atom
# Space group: Ibam (72)

***

Entry 12:
# GGA-PBE FeAg4Cl, optimized geometry
data_FeAg4Cl
_cell_length_a 5.537
_cell_length_b 5.537
_cell_length_c 5.537
_cell_angle_alpha 60.00
_cell_angle_beta 60.00
_cell_angle_gamma 60.00
_space_group_name_H-M_alt 'P 1'
_space_group_IT_number 1
loop_
_space_group_symop_operation_xyz
'x,y,z'
loop_
_atom_site_label
_atom_site_fract_x
_atom_site_fract_y
_atom_site_fract_z
Fe1 0.000 0.000 0.000
Ag1 0.625 0.625 0.124
Ag2 0.625 0.124 0.625
Ag3 0.625 0.625 0.625
Ag4 0.124 0.625 0.625
Cl1 0.250 0.250 0.250
# Crystal system: cubic
# Raw formation energy: 485.0 meV/atom
# E_tot: -0.1152 hartree per atom
# Volume: 20.00 Å³ per atom
# Space group: F-43m (216)